Computed, not measured: a relaxed Tb2PmBi3 crystal at the PBE-GGA level of DFT.

Properties
ΔH_f (0 K), eV per atom: -0.90
E_tot, eV/atom: -5.17
Size of the total moment, μB per formula unit: 0.0

a = 4.522 Å, b = 6.393 Å, c = 13.569 Å
α = 90.00°, β = 90.00°, γ = 90.00°
Sites, in units of the cell vectors:
Tb 0.000 0.000 0.166
Tb 0.000 0.000 0.834
Tb 0.500 0.500 0.334
Tb 0.500 0.500 0.666
Pm 0.000 0.000 0.500
Pm 0.500 0.500 0.000
Bi 0.000 0.500 0.170
Bi 0.000 0.500 0.500
Bi 0.000 0.500 0.830
Bi 0.500 0.000 0.000
Bi 0.500 0.000 0.330
Bi 0.500 0.000 0.670